Material: CdHg2Cl
Method: DFT, GGA-PBE
State: relaxed

The structure in CIF format:
```
data_CdHg2Cl
_space_group_name_H-M_alt 'P 1'
_space_group_IT_number 1
_space_group_name_Hall 'P 1'
_cell_length_a 6.4786
_cell_length_b 6.3549
_cell_length_c 4.3203
_cell_angle_alpha 71.88
_cell_angle_beta 68.79
_cell_angle_gamma 39.33
loop_
_atom_site_label
_atom_site_fract_x
_atom_site_fract_y
_atom_site_fract_z
Cd1 0.0000 0.0000 0.0000
Hg1 0.0000 0.5000 0.5000
Hg2 0.5000 0.0000 0.0000
Cl1 0.5000 0.5000 0.5000
```

- Space-group type: Fmmm (69)
- Energy above the lowest structure with this stoichiometry: 0.083 eV/atom
- ΔE_f (raw): -0.22 eV/atom

---

Material: Cd2HgCl
Method: DFT, GGA-PBE
State: relaxed

The structure in CIF format:
```
data_Cd2HgCl
_space_group_name_H-M_alt 'P 1'
_space_group_IT_number 1
_space_group_name_Hall 'P 1'
_cell_length_a 5.8436
_cell_length_b 5.8436
_cell_length_c 5.8436
_cell_angle_alpha 141.33
_cell_angle_beta 117.80
_cell_angle_gamma 75.69
loop_
_atom_site_label
_atom_site_fract_x
_atom_site_fract_y
_atom_site_fract_z
Cd1 0.0000 0.0000 0.0000
Cd2 0.7627 0.2627 0.5000
Hg1 0.2501 0.7501 0.5000
Cl1 0.5498 0.5498 0.0000
```

- Space-group type: Imm2 (44)
- Energy above the lowest structure with this stoichiometry: 0.059 eV/atom
- ΔE_f (raw): -0.23 eV/atom

---

Material: CdHgCl2
Method: DFT, GGA-PBE
State: relaxed

The structure in CIF format:
```
data_CdHgCl2
_space_group_name_H-M_alt 'P 1'
_space_group_IT_number 1
_space_group_name_Hall 'P 1'
_cell_length_a 5.0935
_cell_length_b 5.0935
_cell_length_c 5.0935
_cell_angle_alpha 60.00
_cell_angle_beta 60.00
_cell_angle_gamma 60.00
loop_
_atom_site_label
_atom_site_fract_x
_atom_site_fract_y
_atom_site_fract_z
Cd1 0.0000 0.0000 0.0000
Hg1 0.2500 0.2500 0.2500
Cl1 0.5000 0.5000 0.5000
Cl2 0.7500 0.7500 0.7500
```

- Space-group type: F-43m (216)
- Energy above the lowest structure with this stoichiometry: 0.631 eV/atom
- ΔE_f (raw): -0.16 eV/atom